Compound: LiFeF3
Source: Alexandria via LeMat-Bulk
Functional: PBE+U
Structure: optimized geometry

The crystal system is monoclinic. As for the uncorrected energy: -5.266 eV/atom.

a = 7.4560 Å, b = 3.2126 Å, c = 4.9084 Å
α = 89.79°, β = 90.00°, γ = 90.00°
With the nearest neighbours (Å) after each atom.
Sites, in units of the cell vectors:
Li 0.7500 0.4976 0.4671  4 F 1.95-1.97
Li 0.2500 0.5024 0.5329  4 F 1.95-1.97
Fe 0.0000 0.0000 0.0000  6 F 2.05-2.19
Fe 0.5000 0.0000 0.0000  6 F 2.05-2.19
F 0.4306 0.5104 0.2461  1 Li 1.95, 2 Fe 2.05-2.10
F 0.0694 0.5104 0.2461  1 Li 1.95, 2 Fe 2.05-2.10
F 0.7500 0.0004 0.2344  2 Li 1.97, 2 Fe 2.19
F 0.5694 0.4896 0.7539  1 Li 1.95, 2 Fe 2.05-2.10
F 0.9306 0.4896 0.7539  1 Li 1.95, 2 Fe 2.05-2.10
F 0.2500 0.9996 0.7656  2 Li 1.97, 2 Fe 2.19